Crystalline Cs3IrBr8 at its relaxed geometry, computed with GGA-PBE.

Cell lengths 8.983, 10.883, 10.883 Å; angles 120.00, 90.00, 90.00 degrees
Atoms (fractional coordinates):
Cs: 0.693 0.153 0.305
Cs: 0.193 0.305 0.153
Cs: 0.693 0.153 0.847
Cs: 0.193 0.847 0.695
Cs: 0.693 0.695 0.847
Cs: 0.193 0.847 0.153
Ir: 0.097 0.333 0.667
Ir: 0.597 0.667 0.333
Br: 0.010 0.466 0.931
Br: 0.441 0.000 0.000
Br: 0.941 0.000 0.000
Br: 0.510 0.534 0.466
Br: 0.510 0.534 0.069
Br: 0.274 0.227 0.773
Br: 0.774 0.773 0.227
Br: 0.010 0.466 0.534
Br: 0.774 0.773 0.546
Br: 0.306 0.667 0.333
Br: 0.774 0.454 0.227
Br: 0.010 0.069 0.534
Br: 0.274 0.546 0.773
Br: 0.274 0.227 0.454
Br: 0.510 0.931 0.466
Br: 0.806 0.333 0.667

Calculated values
- E_tot (eV/atom) = -2.925
- energy above the lowest structure with this stoichiometry (meV per atom) = 0.0
- symmetry = No. 186
- formation energy from raw total energies (eV per atom) = -0.858
- calculated volume (Å³/cell) = 921